Record 1
# CdGaOF2 PBE-GGA relaxed
data_CdGaOF2
_space_group_name_H-M_alt 'P 4/m m m'
_space_group_IT_number 123
_space_group_name_Hall '-P 4 2'
_cell_length_a 4.3972
_cell_length_b 4.3972
_cell_length_c 4.3509
_cell_angle_alpha 90.00
_cell_angle_beta 90.00
_cell_angle_gamma 90.00
loop_
_atom_site_label
_atom_site_fract_x
_atom_site_fract_y
_atom_site_fract_z
_atom_site_occupancy
Cd1 0.0000 0.0000 0.0000 1
Ga1 0.5000 0.5000 0.5000 1
O1 0.0000 0.0000 0.5000 1
F1 0.0000 0.5000 0.0000 1
# Polymorph energy (0 for the lowest one)   0.4791 eV per atom
# Size of the total moment   0.93 μB per formula unit
# Mass density   4.66 Mg/m³
# Raw formation energy   -1.13 eV per atom
# DOS at the Fermi energy   2.8 states/eV/cell
# Total energy   -18.30 eV/cell

=====

Record 2
# YbCoB4 PBE-GGA relaxed
data_YbCoB4
_space_group_name_H-M_alt 'P b a m'
_space_group_IT_number 55
_space_group_name_Hall '-P 2 2ab'
_cell_length_a 5.8966
_cell_length_b 11.4154
_cell_length_c 3.3033
_cell_angle_alpha 90.00
_cell_angle_beta 90.00
_cell_angle_gamma 90.00
loop_
_atom_site_label
_atom_site_fract_x
_atom_site_fract_y
_atom_site_fract_z
_atom_site_occupancy
Yb1 0.1268 0.1504 0.0000 1
Co1 0.1342 0.4115 0.0000 1
B1 0.0243 0.6906 0.5000 1
B2 0.1118 0.5464 0.5000 1
B3 0.1386 0.9681 0.5000 1
B4 0.2174 0.8160 0.5000 1
# Size of the total moment   0.00 μB per formula unit
# Mass density   8.22 Mg/m³
# DOS at the Fermi energy   10.9 states/eV/cell
# Total energy   -153.09 eV/cell

=====

Record 3
# CsRbPtO3 PBE-GGA relaxed
data_CsRbPtO3
_space_group_name_H-M_alt 'C m c m'
_space_group_IT_number 63
_space_group_name_Hall '-C 2c 2'
_cell_length_a 6.4886
_cell_length_b 12.2000
_cell_length_c 6.3017
_cell_angle_alpha 90.00
_cell_angle_beta 90.00
_cell_angle_gamma 90.00
loop_
_atom_site_label
_atom_site_fract_x
_atom_site_fract_y
_atom_site_fract_z
_atom_site_occupancy
Cs1 0.0000 0.2324 0.2500 1
Rb1 0.0000 0.0959 0.7500 1
Pt1 0.0000 0.4803 0.7500 1
O1 0.0000 0.3147 0.7500 1
O2 0.1961 0.5000 0.0000 1
# Size of the total moment   0.00 μB per formula unit
# Mass density   6.14 Mg/m³
# Raw formation energy   -0.84 eV per atom
# DOS at the Fermi energy   8.9 states/eV/cell
# Total energy   -111.03 eV/cell

=====

Record 4
# PrDyNiAu PBE-GGA relaxed
data_PrDyNiAu
_space_group_name_H-M_alt 'F -4 3 m'
_space_group_IT_number 216
_space_group_name_Hall 'F -4 2 3'
_cell_length_a 7.1658
_cell_length_b 7.1658
_cell_length_c 7.1658
_cell_angle_alpha 90.00
_cell_angle_beta 90.00
_cell_angle_gamma 90.00
loop_
_atom_site_label
_atom_site_fract_x
_atom_site_fract_y
_atom_site_fract_z
_atom_site_occupancy
Pr1 0.0000 0.0000 0.0000 1
Dy1 0.0000 0.0000 0.5000 1
Ni1 0.2500 0.2500 0.7500 1
Au1 0.2500 0.2500 0.2500 1
# Polymorph energy (0 for the lowest one)   0.0618 eV per atom
# Size of the total moment   0.00 μB per formula unit
# Mass density   10.09 Mg/m³
# DOS at the Fermi energy   11.0 states/eV/cell
# Total energy   -81.78 eV/cell

=====

What did the third record say?
# CsRbPtO3 PBE-GGA relaxed
data_CsRbPtO3
_space_group_name_H-M_alt 'C m c m'
_space_group_IT_number 63
_space_group_name_Hall '-C 2c 2'
_cell_length_a 6.4886
_cell_length_b 12.2000
_cell_length_c 6.3017
_cell_angle_alpha 90.00
_cell_angle_beta 90.00
_cell_angle_gamma 90.00
loop_
_atom_site_label
_atom_site_fract_x
_atom_site_fract_y
_atom_site_fract_z
_atom_site_occupancy
Cs1 0.0000 0.2324 0.2500 1
Rb1 0.0000 0.0959 0.7500 1
Pt1 0.0000 0.4803 0.7500 1
O1 0.0000 0.3147 0.7500 1
O2 0.1961 0.5000 0.0000 1
# Size of the total moment   0.00 μB per formula unit
# Mass density   6.14 Mg/m³
# Raw formation energy   -0.84 eV per atom
# DOS at the Fermi energy   8.9 states/eV/cell
# Total energy   -111.03 eV/cell